[1]
# As2PtAu, relaxed, DFT PBE
data_As2PtAu
_symmetry_space_group_name_H-M 'P 1 2/m 1'
_symmetry_Int_Tables_number 10
_symmetry_space_group_name_Hall '-P 2y'
_cell_length_a 3.688
_cell_length_b 3.517
_cell_length_c 5.729
_cell_angle_alpha 90.00
_cell_angle_beta 91.10
_cell_angle_gamma 90.00
loop_
_atom_site_label
_atom_site_type_symbol
_atom_site_fract_x
_atom_site_fract_y
_atom_site_fract_z
As1 As 0.087 0.000 0.279
Pt1 Pt 0.500 0.500 0.500
Au1 Au 0.500 0.500 0.000
# * spin magnetization: 0.000 μB/atom
# * polymorph energy (0 for the lowest one): 138 meV/atom
# * energy of formation: 71 meV per atom
# * D(E_F): 1.14 states/eV/cell

[2]
# PuCuCl4, relaxed, DFT PBE
data_PuCuCl4
_symmetry_space_group_name_H-M 'C 1 2/c 1'
_symmetry_Int_Tables_number 15
_symmetry_space_group_name_Hall '-C 2yc'
_cell_length_a 13.259
_cell_length_b 7.428
_cell_length_c 7.552
_cell_angle_alpha 90.00
_cell_angle_beta 90.57
_cell_angle_gamma 90.00
loop_
_atom_site_label
_atom_site_type_symbol
_atom_site_fract_x
_atom_site_fract_y
_atom_site_fract_z
Pu1 Pu 0.250 0.250 0.000
Cu1 Cu 0.000 0.249 0.750
Cl1 Cl 0.045 0.252 0.020
Cl2 Cl 0.248 0.064 0.689
# * spin magnetization: 0.833 μB/atom
# * polymorph energy (0 for the lowest one): 0 meV/atom
# * formation energy (no corrections): -8.3 eV/f.u.
# * D(E_F): 43.04 states/eV/cell

Q: Which of these has the lowest polymorph energy (0 for the lowest one)?
A: PuCuCl4